# 1
Below is crystalline Hg3IN at its relaxed geometry, with properties calculated at the PBE level.

Output
energy relative to the lowest polymorph listed for this composition	768	meV per atom
final energy	-0.97	eV per atom
ρ	4.07	g/cm3
formation energy from raw total energies	1.184	eV per atom
SG	Pm-3m (221)

Cell and atoms, written as extended XYZ:
```
5
Lattice="-0.334 -2.680 6.147 -3.692 -5.064 -2.409 5.598 -3.500 -1.222" Properties=species:S:1:pos:R:3 pbc="T T T"
I 0.000 0.000 0.000
Hg -1.846 -2.532 -1.204
Hg 2.799 -1.750 -0.611
Hg -0.167 -1.340 3.074
N 0.786 -5.622 1.258
```

=====

# 2
Below is crystalline SrY3B at its relaxed geometry, with properties calculated at the PBE level.

Output
ΔE_f	0.080	eV/atom
energy relative to the lowest polymorph listed for this composition	0	meV per atom
final energy	-5.47	eV per atom
ρ	4.07	g/cm3
SG	Pm-3m (221)

Cell and atoms, written as extended XYZ:
```
5
Lattice="-2.337 -4.576 1.313 3.599 -0.741 3.824 -3.117 2.576 3.432" Properties=species:S:1:pos:R:3 pbc="T T T"
Y 1.799 -0.370 1.912
Y -1.558 1.288 1.716
Y -1.168 -2.288 0.656
Sr -0.927 -1.371 4.284
B 0.000 0.000 0.000
```